First-principles (PBE) data for an optimized crystal structure of Pa4Co3As8, as listed in Alexandria via LeMat-Bulk.

Cell lengths 4.039, 4.039, 17.538 Å; angles 90.00, 90.00, 90.00 degrees
Positions (direct):
Pa (0.000, 0.500, 0.112)
Pa (0.000, 0.500, 0.626)
Pa (0.500, 0.000, 0.374)
Pa (0.500, 0.000, 0.888)
Co (0.000, 0.000, 0.000)
Co (0.000, 0.000, 0.500)
Co (0.500, 0.500, 0.500)
As (0.000, 0.000, 0.244)
As (0.000, 0.000, 0.756)
As (0.000, 0.500, 0.423)
As (0.000, 0.500, 0.930)
As (0.500, 0.000, 0.070)
As (0.500, 0.000, 0.577)
As (0.500, 0.500, 0.244)
As (0.500, 0.500, 0.756)

Formation enthalpy at 0 K (kJ per mole of atoms): -79.4
Raw total energy (eV/atom): -7.256